Here is a relaxed Fe3PtRh crystal from the Alexandria database. Energies are from GGA-PBE.

Output
The calculation puts the formation energy at -0.0381 eV per atom. For the distance to the lowest polymorph of the same formula, the calculation gives 0.0000 eV/atom. The space-group type is P2/c, No. 13.

a b c (Å): 4.6279 5.1175 11.4740
angles (deg): 98.37 90.00 90.00
Last column: nearest neighbours and their distance in Å.
Element x y z (fractional)
Fe (0.8317, 0.4064, 0.3466)  7 Fe 2.54-2.74, 3 Rh 2.62-2.68, 2 Pt 2.63-2.67
Fe (0.6609, 0.7059, 0.5523)  4 Pt 2.61-2.70, 2 Rh 2.64-2.67, 6 Fe 2.66-2.74
Fe (0.3391, 0.7059, 0.0523)  4 Pt 2.61-2.70, 2 Rh 2.64-2.67, 6 Fe 2.66-2.74
Fe (0.8317, 0.5936, 0.1534)  7 Fe 2.54-2.74, 3 Rh 2.62-2.68, 2 Pt 2.63-2.67
Fe (0.3369, 0.1047, 0.6538)  6 Fe 2.59-2.73, 3 Rh 2.64-2.67, 3 Pt 2.69-2.73
Fe (0.6609, 0.2941, 0.9477)  4 Pt 2.61-2.70, 2 Rh 2.64-2.67, 6 Fe 2.66-2.74
Fe (0.1683, 0.5936, 0.6534)  7 Fe 2.54-2.74, 3 Rh 2.62-2.68, 2 Pt 2.63-2.67
Fe (0.3391, 0.2941, 0.4477)  4 Pt 2.61-2.70, 2 Rh 2.64-2.67, 6 Fe 2.66-2.74
Fe (0.1683, 0.4064, 0.8466)  7 Fe 2.54-2.74, 3 Rh 2.62-2.68, 2 Pt 2.63-2.67
Fe (0.3369, 0.8953, 0.8462)  6 Fe 2.59-2.73, 3 Rh 2.64-2.67, 3 Pt 2.69-2.73
Fe (0.6631, 0.8953, 0.3462)  6 Fe 2.59-2.73, 3 Rh 2.64-2.67, 3 Pt 2.69-2.73
Fe (0.6631, 0.1047, 0.1538)  6 Fe 2.59-2.73, 3 Rh 2.64-2.67, 3 Pt 2.69-2.73
Pt (0.8321, 0.2076, 0.5456)  9 Fe 2.61-2.73, 2 Rh 2.70-2.71, 1 Pt 2.72
Pt (0.1679, 0.2076, 0.0457)  9 Fe 2.61-2.73, 2 Rh 2.70-2.71, 1 Pt 2.72
Pt (0.1679, 0.7924, 0.4544)  9 Fe 2.61-2.73, 2 Rh 2.70-2.71, 1 Pt 2.72
Pt (0.8321, 0.7924, 0.9543)  9 Fe 2.61-2.73, 2 Rh 2.70-2.71, 1 Pt 2.72
Rh (0.1593, 0.0000, 0.2500)  8 Fe 2.64-2.68, 2 Rh 2.69, 2 Pt 2.71
Rh (0.6646, 0.5000, 0.7500)  8 Fe 2.62-2.65, 2 Rh 2.69, 2 Pt 2.70
Rh (0.3354, 0.5000, 0.2500)  8 Fe 2.62-2.65, 2 Rh 2.69, 2 Pt 2.70
Rh (0.8407, 0.0000, 0.7500)  8 Fe 2.64-2.68, 2 Rh 2.69, 2 Pt 2.71